The following is a PBE-GGA calculation of an optimized crystal structure of VCu3C, from Alexandria via LeMat-Bulk.

a b c (Å): 3.909 3.909 3.909
angles (deg): 90.00 90.00 90.00
Element x y z (fractional)
V: 0.500 0.500 0.500
C: 0.000 0.000 0.000
Cu: 0.000 0.500 0.000
Cu: 0.000 0.000 0.500
Cu: 0.500 0.000 0.000

## Properties
Calculated formation energy = 2.9 eV/f.u.
M_tot = 3.09 μB per cell
Energy relative to the lowest polymorph listed for this composition = 0.000 eV per atom
Raw total energy = -5.54 eV per atom



The following is a PBE-GGA calculation of an optimized crystal structure of VCuC3, from Alexandria via LeMat-Bulk.

a b c (Å): 3.763 3.763 3.763
angles (deg): 90.00 90.00 90.00
Element x y z (fractional)
C: 0.000 0.500 0.000
Cu: 0.000 0.000 0.000
V: 0.500 0.500 0.500
C: 0.000 0.000 0.500
C: 0.500 0.000 0.000

## Properties
Calculated formation energy = 12.4 eV/f.u.
M_tot = 2.27 μB per cell
Energy relative to the lowest polymorph listed for this composition = 0.576 eV per atom
Raw total energy = -5.70 eV per atom



The following is a PBE-GGA calculation of an optimized crystal structure of V2CuC, from Alexandria via LeMat-Bulk.

a b c (Å): 2.835 2.835 7.546
angles (deg): 79.17 79.17 60.00
Element x y z (fractional)
V: 0.884 0.884 0.348
C: 0.500 0.500 0.500
Cu: 0.000 0.000 0.000
V: 0.116 0.116 0.652

## Properties
Calculated formation energy = 0.4 eV/f.u.
M_tot = 0.00 μB per cell
Raw total energy = -7.78 eV per atom



The following is a PBE-GGA calculation of an optimized crystal structure of VCu3C, from Alexandria via LeMat-Bulk.

a b c (Å): 4.505 4.505 4.505
angles (deg): 90.00 90.00 90.00
Element x y z (fractional)
Cu: 0.000 0.000 0.500
V: 0.000 0.000 0.000
Cu: 0.000 0.500 0.000
Cu: 0.500 0.000 0.000
C: 0.500 0.500 0.500

## Properties
Calculated formation energy = 12.9 eV/f.u.
M_tot = 2.39 μB per cell
Energy relative to the lowest polymorph listed for this composition = 1.986 eV per atom
Raw total energy = -3.55 eV per atom



The following is a PBE-GGA calculation of an optimized crystal structure of VCu2C, from Alexandria via LeMat-Bulk.

a b c (Å): 3.120 3.120 9.527
angles (deg): 80.57 80.57 90.00
Element x y z (fractional)
C: 0.500 0.500 0.000
V: 0.750 0.250 0.500
Cu: 0.620 0.125 0.250
V: 0.000 0.000 0.000
Cu: 0.375 0.380 0.750
Cu: 0.875 0.870 0.750
Cu: 0.130 0.625 0.250
C: 0.250 0.750 0.500

## Properties
Calculated formation energy = 2.6 eV/f.u.
M_tot = 0.02 μB per cell
Raw total energy = -5.99 eV per atom



The following is a PBE-GGA calculation of an optimized crystal structure of VCuC3, from Alexandria via LeMat-Bulk.

a b c (Å): 3.882 3.882 3.882
angles (deg): 90.00 90.00 90.00
Element x y z (fractional)
C: 0.000 0.500 0.000
C: 0.500 0.000 0.000
V: 0.000 0.000 0.000
Cu: 0.500 0.500 0.500
C: 0.000 0.000 0.500

## Properties
Calculated formation energy = 9.5 eV/f.u.
M_tot = 0.00 μB per cell
Energy relative to the lowest polymorph listed for this composition = 0.000 eV per atom
Raw total energy = -6.28 eV per atom



The following is a PBE-GGA calculation of an optimized crystal structure of Y2VCuC, from Alexandria via LeMat-Bulk.

a b c (Å): 4.951 4.951 3.928
angles (deg): 90.00 90.00 90.00
Element x y z (fractional)
Y: 0.500 0.000 0.000
C: 0.000 0.000 0.000
V: 0.000 0.000 0.500
Cu: 0.500 0.500 0.500
Y: 0.000 0.500 0.000

## Properties
Calculated formation energy = -0.6 eV/f.u.
M_tot = 1.71 μB per cell
Raw total energy = -7.20 eV per atom



The following is a PBE-GGA calculation of an optimized crystal structure of VZnCu2C, from Alexandria via LeMat-Bulk.

a b c (Å): 3.893 4.145 3.893
angles (deg): 90.00 90.00 90.00
Element x y z (fractional)
C: 0.000 0.000 0.000
Cu: 0.500 0.000 0.000
Cu: 0.000 0.000 0.500
Zn: 0.000 0.500 0.000
V: 0.500 0.500 0.500

## Properties
Calculated formation energy = 3.5 eV/f.u.
M_tot = 2.76 μB per cell
Raw total energy = -4.86 eV per atom



The following is a PBE-GGA calculation of an optimized crystal structure of V2ZnCuC, from Alexandria via LeMat-Bulk.

a b c (Å): 4.616 3.451 4.616
angles (deg): 90.00 90.00 90.00
Element x y z (fractional)
C: 0.000 0.500 0.000
V: 0.000 0.000 0.500
Zn: 0.500 0.500 0.500
Cu: 0.000 0.000 0.000
V: 0.500 0.000 0.000

## Properties
Calculated formation energy = 7.2 eV/f.u.
M_tot = 0.00 μB per cell
Raw total energy = -5.12 eV per atom



The following is a PBE-GGA calculation of an optimized crystal structure of CuWC2, from Alexandria via LeMat-Bulk.

a b c (Å): 3.787 3.787 3.787
angles (deg): 60.00 60.00 60.00
Element x y z (fractional)
Cu: 0.000 0.000 0.000
C: 0.750 0.750 0.750
W: 0.500 0.500 0.500
C: 0.250 0.250 0.250

## Properties
Calculated formation energy = 5.8 eV/f.u.
M_tot = 0.00 μB per cell
Energy relative to the lowest polymorph listed for this composition = 0.604 eV per atom
Raw total energy = -7.43 eV per atom



The following is a PBE-GGA calculation of an optimized crystal structure of CuWC3, from Alexandria via LeMat-Bulk.

a b c (Å): 4.090 4.090 4.090
angles (deg): 90.00 90.00 90.00
Element x y z (fractional)
C: 0.000 0.500 0.000
Cu: 0.500 0.500 0.500
C: 0.500 0.000 0.000
C: 0.000 0.000 0.500
W: 0.000 0.000 0.000

## Properties
Calculated formation energy = 10.0 eV/f.u.
M_tot = 0.00 μB per cell
Energy relative to the lowest polymorph listed for this composition = 0.000 eV per atom
Raw total energy = -6.94 eV per atom



The following is a PBE-GGA calculation of an optimized crystal structure of Cu3WC, from Alexandria via LeMat-Bulk.

a b c (Å): 4.705 4.705 4.705
angles (deg): 90.00 90.00 90.00
Element x y z (fractional)
Cu: 0.500 0.000 0.000
Cu: 0.000 0.000 0.500
C: 0.500 0.500 0.500
W: 0.000 0.000 0.000
Cu: 0.000 0.500 0.000

## Properties
Calculated formation energy = 14.7 eV/f.u.
M_tot = 1.39 μB per cell
Energy relative to the lowest polymorph listed for this composition = 1.966 eV per atom
Raw total energy = -3.96 eV per atom



calculated formation energy of number 9 (V2ZnCuC)?
7.2 eV/f.u.



Which of these has the highest M_tot?
number 1



Look up the calculated formation energy of the sixth one.
9.5 eV/f.u.